Below is an optimized crystal structure of Gd2TiO5, with properties calculated at the PBE-GGA level.

Computed properties:
As for the energy relative to the elements, uncorrected: -3.3543 eV per atom. The calculation puts the raw total energy at -350.7 eV per cell. The calculation puts the density of states at the Fermi level at 0.0 states/eV per cell. The value obtained for the total magnetization is 13.98 μB per formula unit. The volume is 14.8 A^3/atom. The value obtained for the offset from the most stable computed form is 0.035 eV/atom.

abc: 9.598 7.083 7.012
angles: 90.00 97.71 90.00
Fractional coordinates of all 32 atoms:
Gd: 0.034 0.119 0.225
Gd: 0.034 0.381 0.725
Gd: 0.349 0.144 0.970
Gd: 0.349 0.356 0.470
Gd: 0.651 0.644 0.530
Gd: 0.651 0.856 0.030
Gd: 0.966 0.619 0.275
Gd: 0.966 0.881 0.775
Ti: 0.298 0.603 0.971
Ti: 0.298 0.897 0.471
Ti: 0.702 0.103 0.529
Ti: 0.702 0.397 0.029
O: 0.103 0.120 0.914
O: 0.103 0.380 0.414
O: 0.106 0.645 0.956
O: 0.106 0.855 0.456
O: 0.282 0.071 0.270
O: 0.282 0.429 0.770
O: 0.354 0.070 0.652
O: 0.354 0.430 0.152
O: 0.406 0.682 0.482
O: 0.406 0.818 0.982
O: 0.594 0.182 0.018
O: 0.594 0.318 0.518
O: 0.646 0.570 0.848
O: 0.646 0.930 0.348
O: 0.718 0.571 0.230
O: 0.718 0.929 0.730
O: 0.894 0.145 0.544
O: 0.894 0.355 0.044
O: 0.897 0.620 0.586
O: 0.897 0.880 0.086

---

Below is an optimized crystal structure of ReTc, with properties calculated at the PBE-GGA level.

Computed properties:
The calculation puts the raw total energy at -22.8 eV per cell. The formation energy comes out at -0.01 eV/atom. The calculation puts the density of states at the Fermi level at 1.3 states/eV per cell. The value obtained for the total magnetization is 0.00 μB per formula unit. The volume is 14.8 A^3/atom. The value obtained for the offset from the most stable computed form is 0.000 eV/atom.

abc: 2.766 2.766 4.453
angles: 90.00 90.00 120.00
Fractional coordinates of all 2 atoms:
Re: 0.000 0.000 0.000
Tc: 0.333 0.667 0.500

---

Below is an optimized crystal structure of PdAu, with properties calculated at the PBE-GGA level.

Computed properties:
The calculation puts the raw total energy at -6.6 eV per cell. The formation energy comes out at 0.92 eV/atom. The calculation puts the density of states at the Fermi level at 5.4 states/eV per cell. The value obtained for the total magnetization is 0.00 μB per formula unit. The volume is 27.1 A^3/atom.

abc: 4.250 4.250 4.250
angles: 60.00 60.00 60.00
Fractional coordinates of all 2 atoms:
Pd: 0.000 0.000 0.000
Au: 0.750 0.750 0.750

---

Among the records above, which one has the lowest raw total energy?
Gd2TiO5

---

Which formula does entry 1 have?
Gd2TiO5